Entry 1:
# InCl2F | Alexandria | PBE | optimized geometry
data_InCl2F
_chemical_formula_sum 'In4 Cl8 F4'
_cell_length_a 9.340
_cell_length_b 9.340
_cell_length_c 4.261
_cell_angle_alpha 90.00
_cell_angle_beta 90.00
_cell_angle_gamma 90.00
_space_group_name_H-M_alt 'I -4 2 d'
_space_group_IT_number 122
_space_group_name_Hall 'I -4 2bw'
loop_
_atom_site_label
_atom_site_type_symbol
_atom_site_fract_x
_atom_site_fract_y
_atom_site_fract_z
In1 In 0.000 0.000 0.000
Cl1 Cl 0.098 0.250 0.125
F1 F 0.000 0.000 0.500
# Energy relative to the elements, uncorrected (eV per formula unit): -5.7
# Electronic total energy (eV/cell): -56.1

---

Entry 2:
# In3ClF | Alexandria | PBE | optimized geometry
data_In3ClF
_chemical_formula_sum 'In3 Cl1 F1'
_cell_length_a 5.234
_cell_length_b 5.234
_cell_length_c 5.234
_cell_angle_alpha 90.00
_cell_angle_beta 90.00
_cell_angle_gamma 90.00
_space_group_name_H-M_alt 'P m -3 m'
_space_group_IT_number 221
_space_group_name_Hall '-P 4 2 3'
loop_
_atom_site_label
_atom_site_type_symbol
_atom_site_fract_x
_atom_site_fract_y
_atom_site_fract_z
In1 In 0.000 0.000 0.500
Cl1 Cl 0.500 0.500 0.500
F1 F 0.000 0.000 0.000
# Energy relative to the elements, uncorrected (eV per formula unit): -3.5
# Electronic total energy (eV/cell): -15.4

---

Entry 3:
# In2ClF | Alexandria | PBE | optimized geometry
data_In2ClF
_chemical_formula_sum 'In8 Cl4 F4'
_cell_length_a 8.802
_cell_length_b 4.140
_cell_length_c 11.885
_cell_angle_alpha 90.00
_cell_angle_beta 90.00
_cell_angle_gamma 90.00
_space_group_name_H-M_alt 'P n m a'
_space_group_IT_number 62
loop_
_space_group_symop_operation_xyz
'x,y,z'
'-x,-y,-z'
'-x+1/2,-y,z+1/2'
'x+1/2,y,-z+1/2'
'x+1/2,-y+1/2,-z+1/2'
'-x+1/2,y+1/2,z+1/2'
'-x,y+1/2,-z'
'x,-y+1/2,z'
loop_
_atom_site_label
_atom_site_type_symbol
_atom_site_fract_x
_atom_site_fract_y
_atom_site_fract_z
In1 In 0.049 0.250 0.208
In2 In 0.192 0.250 0.529
Cl1 Cl 0.206 0.250 0.823
F1 F 0.025 0.750 0.596
# Energy relative to the elements, uncorrected (eV per formula unit): -5.0
# Electronic total energy (eV/cell): -56.7

---

Number 1: distance to the lowest polymorph of the same formula 0.57 eV/f.u., M_tot 0.000 μB/f.u.. Number 2: distance to the lowest polymorph of the same formula 0.00 eV/f.u., M_tot 0.000 μB/f.u.. Number 3: distance to the lowest polymorph of the same formula 0.01 eV/f.u., M_tot 0.000 μB/f.u..